[1]
The following is a GGA-PBEsol calculation of a geometry-optimized CaYCd structure, from the Alexandria database.

## Properties
Formation enthalpy at 0 K (eV per atom): -0.191
Space-group type: I4mm (107)
Calculated total energy (eV per atom): -3.575

abc: 3.6719 3.6719 7.0189
angles: 105.16 105.16 90.00
Site moments in Bohr magnetons follow the coordinates.
Sites, in units of the cell vectors:
Ca 0.9794 0.9794 0.9589  0.00
Y 0.6930 0.6930 0.3860  0.08
Cd 0.3276 0.3276 0.6551  0.00

---

[2]
The following is a GGA-PBEsol calculation of a geometry-optimized Mg2TaNb structure, from the Alexandria database.

## Properties
Formation enthalpy at 0 K (eV per atom): 0.658
Space-group type: Fm-3m (225)
Calculated total energy (eV per atom): -6.044

abc: 4.6856 4.6856 4.6856
angles: 60.00 60.00 60.00
Sites, in units of the cell vectors:
Ta 0.5000 0.5000 0.5000
Mg 0.2500 0.2500 0.2500
Mg 0.7500 0.7500 0.7500
Nb 0.0000 0.0000 0.0000

---

[3]
The following is a GGA-PBEsol calculation of a geometry-optimized KTe2Se structure, from the Alexandria database.

## Properties
Space-group type: I4/mmm (139)
Raw formation energy (kJ per mole of atoms): -42.4
Calculated total energy (eV per atom): -3.448

abc: 4.4811 4.4811 6.9687
angles: 108.75 108.75 90.00
Sites, in units of the cell vectors:
K 0.5000 0.5000 0.0000
Te 0.7735 0.7735 0.5470
Te 0.2265 0.2265 0.4530
Se 0.0000 0.0000 0.0000

---

[4]
The following is a GGA-PBEsol calculation of a geometry-optimized ErCuSb2 structure, from the Alexandria database.

## Properties
Space-group type: P4/nmm (129)
Raw formation energy (kJ per mole of atoms): -60.0
Calculated total energy (eV per atom): -5.216

abc: 4.2456 4.2456 9.5299
angles: 90.00 90.00 90.00
Sites, in units of the cell vectors:
Cu 0.5000 0.5000 0.5000
Cu 0.0000 0.0000 0.5000
Sb 0.5000 0.0000 0.6641
Sb 0.5000 0.5000 0.0000
Sb 0.0000 0.0000 0.0000
Sb 0.0000 0.5000 0.3359
Er 0.5000 0.0000 0.2510
Er 0.0000 0.5000 0.7490

---

[5]
The following is a GGA-PBEsol calculation of a geometry-optimized RbBe2Ag structure, from the Alexandria database.

## Properties
Formation enthalpy at 0 K (eV per atom): 1.212
Space-group type: Fm-3m (225)
Calculated total energy (eV per atom): -1.872

abc: 4.8422 4.8422 4.8422
angles: 60.00 60.00 60.00
Sites, in units of the cell vectors:
Ag 0.5000 0.5000 0.5000
Rb 0.0000 0.0000 0.0000
Be 0.7500 0.7500 0.7500
Be 0.2500 0.2500 0.2500

---

[6]
The following is a GGA-PBEsol calculation of a geometry-optimized Tm4CdPt structure, from the Alexandria database.

## Properties
Formation enthalpy at 0 K (eV per atom): -0.632
Space-group type: F-43m (216)
Calculated total energy (eV per atom): -5.258

abc: 9.3812 9.3812 9.3812
angles: 60.00 60.00 60.00
Sites, in units of the cell vectors:
Tm 0.0642 0.0642 0.4358
Tm 0.0610 0.6463 0.6463
Tm 0.8100 0.1900 0.8100
Tm 0.6463 0.6463 0.0610
Tm 0.4358 0.0642 0.4358
Tm 0.4358 0.0642 0.0642
Tm 0.6463 0.6463 0.6463
Tm 0.0642 0.4358 0.4358
Tm 0.1900 0.8100 0.8100
Tm 0.1900 0.8100 0.1900
Tm 0.8100 0.1900 0.1900
Tm 0.8100 0.8100 0.1900
Tm 0.1900 0.1900 0.8100
Tm 0.0642 0.4358 0.0642
Tm 0.6463 0.0610 0.6463
Tm 0.4358 0.4358 0.0642
Cd 0.7456 0.4181 0.4181
Cd 0.4181 0.4181 0.4181
Cd 0.4181 0.7456 0.4181
Cd 0.4181 0.4181 0.7456
Pt 0.8561 0.8561 0.4316
Pt 0.4316 0.8561 0.8561
Pt 0.8561 0.4316 0.8561
Pt 0.8561 0.8561 0.8561

---

[7]
The following is a GGA-PBEsol calculation of a geometry-optimized CaFeSb2Te structure, from the Alexandria database.

## Properties
Space-group type: P4/mmm (123)
Raw formation energy (kJ per mole of atoms): 110.2
Calculated total energy (eV per atom): -3.605

abc: 5.5430 5.5713 5.5713
angles: 90.00 90.00 90.00
Site moments in Bohr magnetons follow the coordinates.
Sites, in units of the cell vectors:
Sb 0.0000 0.0000 0.5000  -0.04
Sb 0.0000 0.5000 0.0000  -0.04
Ca 0.0000 0.0000 0.0000  0.01
Fe 0.5000 0.5000 0.5000  3.37
Te 0.5000 0.0000 0.0000  0.00

---

[8]
The following is a GGA-PBEsol calculation of a geometry-optimized RbCSeN2 structure, from the Alexandria database.

## Properties
Space-group type: P4/mmm (123)
Raw formation energy (kJ per mole of atoms): 349.9
Energy above the most stable polymorph in this dataset (eV/atom): 1.4059
Calculated total energy (eV per atom): -2.688

abc: 5.2785 5.2785 6.7105
angles: 90.00 90.00 90.00
Site moments in Bohr magnetons follow the coordinates.
Sites, in units of the cell vectors:
Se 0.0000 0.0000 0.5000  -0.76
N 0.0000 0.5000 0.0000  1.77
N 0.5000 0.0000 0.0000  1.77
C 0.5000 0.5000 0.5000  0.93
Rb 0.0000 0.0000 0.0000  0.08

---

[9]
The following is a GGA-PBEsol calculation of a geometry-optimized CaFeBr structure, from the Alexandria database.

## Properties
Space-group type: I4mm (107)
Raw formation energy (kJ per mole of atoms): 0.2
Calculated total energy (eV per atom): -4.320

abc: 3.3651 3.3650 6.0872
angles: 106.04 106.04 90.08
Site moments in Bohr magnetons follow the coordinates.
Sites, in units of the cell vectors:
Fe 0.6545 0.6545 0.3095  2.96
Br 0.0136 0.0136 0.0268  0.06
Ca 0.3319 0.3319 0.6637  -0.06

---

[10]
The following is a GGA-PBEsol calculation of a geometry-optimized Li24Cd5 structure, from the Alexandria database.

## Properties
Formation enthalpy at 0 K (eV per atom): -0.090
Space-group type: I-43m (217)
Calculated total energy (eV per atom): -1.924

abc: 8.7244 8.7244 8.7244
angles: 109.47 109.47 109.47
Sites, in units of the cell vectors:
Li 0.0000 0.3111 0.5984
Li 0.6314 0.0000 0.8112
Li 0.3686 0.3686 0.1798
Li 0.8112 0.0000 0.6314
Li 0.0000 0.8112 0.6314
Li 0.1798 0.3686 0.3686
Li 0.4016 0.7127 0.4016
Li 0.7127 0.4016 0.4016
Li 0.3686 0.1798 0.3686
Li 0.0000 0.6314 0.8112
Li 0.2873 0.6889 0.6889
Li 0.8202 0.1888 0.1888
Li 0.5984 0.3111 0.0000
Li 0.1888 0.1888 0.8202
Li 0.3111 0.0000 0.5984
Li 0.6314 0.8112 0.0000
Li 0.4016 0.4016 0.7127
Li 0.6889 0.6889 0.2873
Li 0.1888 0.8202 0.1888
Li 0.8112 0.6314 0.0000
Li 0.0000 0.5984 0.3111
Li 0.5984 0.0000 0.3111
Li 0.3111 0.5984 0.0000
Li 0.6889 0.2873 0.6889
Cd 0.6348 0.6348 0.6348
Cd 0.3652 0.0000 0.0000
Cd 0.0000 0.3652 0.0000
Cd 0.0000 0.0000 0.3652
Cd 0.0000 0.0000 0.0000

---

[11]
The following is a GGA-PBEsol calculation of a geometry-optimized Na2CaYGe structure, from the Alexandria database.

## Properties
Formation enthalpy at 0 K (eV per atom): 0.097
Space-group type: P4/mmm (123)
Calculated total energy (eV per atom): -3.242

abc: 5.5201 5.5201 5.5788
angles: 90.00 90.00 90.00
Sites, in units of the cell vectors:
Ge 0.0000 0.0000 0.0000
Na 0.5000 0.0000 0.0000
Na 0.0000 0.5000 0.0000
Ca 0.5000 0.5000 0.5000
Y 0.0000 0.0000 0.5000

---

[12]
The following is a GGA-PBEsol calculation of a geometry-optimized Zr5Ir3 structure, from the Alexandria database.

## Properties
Formation enthalpy at 0 K (eV per atom): -0.705
Space-group type: I4/mcm (140)
Energy above the most stable polymorph in this dataset (eV/atom): 0.0395
Calculated total energy (eV per atom): -10.070

abc: 5.4894 7.8842 7.8842
angles: 83.04 69.63 69.63
Sites, in units of the cell vectors:
Ir 0.8334 0.5000 0.8332
Ir 0.1666 0.5000 0.1668
Ir 0.6666 0.1668 0.5000
Ir 0.2500 0.0000 0.0000
Ir 0.3334 0.8332 0.5000
Ir 0.7500 0.0000 0.0000
Zr 0.2165 0.7053 0.8617
Zr 0.7165 0.8617 0.7053
Zr 0.7500 0.5000 0.5000
Zr 0.2835 0.1383 0.2947
Zr 0.5782 0.7053 0.1383
Zr 0.2500 0.5000 0.5000
Zr 0.0782 0.1383 0.7053
Zr 0.7835 0.2947 0.1383
Zr 0.4218 0.2947 0.8617
Zr 0.9218 0.8617 0.2947

---

[13]
The following is a GGA-PBEsol calculation of a geometry-optimized MnRhO3 structure, from the Alexandria database.

## Properties
Space-group type: Pm-3m (221)
Raw formation energy (kJ per mole of atoms): -41.3
Calculated total energy (eV per atom): -7.157

abc: 3.6912 3.6912 3.6912
angles: 90.00 90.00 90.00
Site moments in Bohr magnetons follow the coordinates.
Sites, in units of the cell vectors:
O 0.0000 0.0000 0.5000  0.29
O 0.0000 0.5000 0.0000  0.29
O 0.5000 0.0000 0.0000  0.29
Mn 0.0000 0.0000 0.0000  2.50
Rh 0.5000 0.5000 0.5000  2.18

---

[14]
The following is a GGA-PBEsol calculation of a geometry-optimized MgAs4Rh6 structure, from the Alexandria database.

## Properties
Formation enthalpy at 0 K (eV per atom): -0.550
Space-group type: P-6m2 (187)
Calculated total energy (eV per atom): -7.002

abc: 3.6216 7.2459 7.2459
angles: 120.00 90.00 90.00
Sites, in units of the cell vectors:
Rh 0.5000 0.8054 0.6108
Rh 0.0000 0.4655 0.5345
Rh 0.0000 0.4655 0.9311
Rh 0.5000 0.3892 0.1946
Rh 0.5000 0.8054 0.1946
Rh 0.0000 0.0689 0.5345
As 0.5000 0.6243 0.8121
As 0.5000 0.1879 0.8121
As 0.0000 0.6667 0.3333
As 0.5000 0.1879 0.3757
Mg 0.0000 0.0000 0.0000

---

[15]
The following is a GGA-PBEsol calculation of a geometry-optimized MnMo2Au structure, from the Alexandria database.

## Properties
Formation enthalpy at 0 K (eV per atom): 0.276
Space-group type: I-4m2 (119)
Energy above the most stable polymorph in this dataset (eV/atom): 0.0774
Calculated total energy (eV per atom): -9.029

abc: 3.9435 3.9435 4.6907
angles: 114.86 114.86 90.00
Site moments in Bohr magnetons follow the coordinates.
Sites, in units of the cell vectors:
Mn 0.2500 0.7500 0.5000  2.25
Mo 0.0000 0.0000 0.0000  -0.30
Mo 0.7500 0.2500 0.5000  -0.09
Au 0.5000 0.5000 0.0000  -0.04

---

[16]
The following is a GGA-PBEsol calculation of a geometry-optimized MgFeNi6 structure, from the Alexandria database.

## Properties
Formation enthalpy at 0 K (eV per atom): -0.068
Space-group type: Cmmm (65)
Calculated total energy (eV per atom): -6.021

abc: 6.1045 6.1045 9.9929
angles: 90.00 90.00 109.62
Site moments in Bohr magnetons follow the coordinates.
Sites, in units of the cell vectors:
Ni 0.8807 0.6344 0.8706  0.44
Ni 0.1174 0.3708 0.3789  0.57
Ni 0.1174 0.3708 0.6211  0.57
Ni 0.3656 0.1193 0.1294  0.44
Ni 0.6292 0.8826 0.3789  0.57
Ni 0.8826 0.6292 0.6211  0.57
Ni 0.7535 0.2465 0.7428  0.52
Ni 0.0000 0.0000 0.0000  0.45
Ni 0.5000 0.5000 0.0000  0.30
Ni 0.7535 0.2465 0.2572  0.52
Ni 0.1193 0.3656 0.1294  0.44
Ni 0.3656 0.1193 0.8706  0.44
Ni 0.3708 0.1174 0.6211  0.57
Ni 0.8826 0.6292 0.3789  0.57
Ni 0.8807 0.6344 0.1294  0.44
Ni 0.1193 0.3656 0.8706  0.44
Ni 0.6344 0.8807 0.8706  0.44
Ni 0.2465 0.7535 0.7428  0.52
Ni 0.6344 0.8807 0.1294  0.44
Ni 0.2465 0.7535 0.2572  0.52
Ni 0.6292 0.8826 0.6211  0.57
Ni 0.3708 0.1174 0.3789  0.57
Ni 0.5000 0.5000 0.5000  0.54
Ni 0.0000 0.0000 0.5000  0.64
Fe 0.0000 0.0000 0.2493  2.67
Fe 0.7465 0.2535 0.5000  2.72
Fe 0.0000 0.0000 0.7507  2.67
Fe 0.2535 0.7465 0.5000  2.72
Mg 0.5000 0.5000 0.2505  -0.02
Mg 0.7461 0.2539 0.0000  -0.02
Mg 0.2539 0.7461 0.0000  -0.02
Mg 0.5000 0.5000 0.7495  -0.02

---

[17]
The following is a GGA-PBEsol calculation of a geometry-optimized Ta2TcAg structure, from the Alexandria database.

## Properties
Formation enthalpy at 0 K (eV per atom): 0.137
Space-group type: P4mm (99)
Energy above the most stable polymorph in this dataset (eV/atom): 0.0098
Calculated total energy (eV per atom): -9.783

abc: 3.2598 3.2598 6.1838
angles: 90.00 90.00 90.00
Sites, in units of the cell vectors:
Ta 0.0000 0.0000 0.0031
Ta 0.5000 0.5000 0.2664
Tc 0.0000 0.0000 0.4827
Ag 0.5000 0.5000 0.7478

---

[18]
The following is a GGA-PBEsol calculation of a geometry-optimized ScHgMoPt2 structure, from the Alexandria database.

## Properties
Formation enthalpy at 0 K (eV per atom): 0.745
Space-group type: P4/mmm (123)
Calculated total energy (eV per atom): -5.828

abc: 4.7625 4.7625 4.9254
angles: 90.00 90.00 90.00
Sites, in units of the cell vectors:
Pt 0.0000 0.5000 0.0000
Pt 0.5000 0.0000 0.0000
Sc 0.0000 0.0000 0.5000
Mo 0.0000 0.0000 0.0000
Hg 0.5000 0.5000 0.5000

---

[19]
The following is a GGA-PBEsol calculation of a geometry-optimized Fe2Te structure, from the Alexandria database.

## Properties
Space-group type: C2/m (12)
Raw formation energy (kJ per mole of atoms): 28.6
Calculated total energy (eV per atom): -6.855

abc: 3.3104 4.5687 6.5569
angles: 71.30 75.38 68.76
Site moments in Bohr magnetons follow the coordinates.
Sites, in units of the cell vectors:
Fe 0.6715 0.2761 0.3809  1.94
Fe 0.6705 0.7168 0.9421  2.28
Fe 0.3285 0.7239 0.6191  1.94
Fe 0.3295 0.2832 0.0579  2.28
Te 0.0133 0.2343 0.7392  -0.04
Te 0.9867 0.7657 0.2608  -0.04

---

[20]
The following is a GGA-PBEsol calculation of a geometry-optimized TcHgN2O structure, from the Alexandria database.

## Properties
Space-group type: P4/mmm (123)
Raw formation energy (kJ per mole of atoms): 212.7
Calculated total energy (eV per atom): -4.623

abc: 4.0338 4.1315 4.1315
angles: 90.00 90.00 90.00
Site moments in Bohr magnetons follow the coordinates.
Sites, in units of the cell vectors:
O 0.5000 0.0000 0.0000  0.09
Hg 0.0000 0.0000 0.0000  -0.04
Tc 0.5000 0.5000 0.5000  3.70
N 0.0000 0.0000 0.5000  -0.38
N 0.0000 0.5000 0.0000  -0.38

---

[21]
The following is a GGA-PBEsol calculation of a geometry-optimized AsP2Rh structure, from the Alexandria database.

## Properties
Formation enthalpy at 0 K (eV per atom): -0.116
Space-group type: I-42d (122)
Calculated total energy (eV per atom): -6.323

abc: 5.4484 5.4484 6.4101
angles: 115.15 115.15 90.00
Sites, in units of the cell vectors:
Rh 0.2500 0.7500 0.5000
Rh 0.0000 0.0000 0.0000
As 0.7500 0.2500 0.5000
As 0.5000 0.5000 0.0000
P 0.9004 0.3750 0.2500
P 0.1250 0.0996 0.7500
P 0.6250 0.6504 0.7500
P 0.3496 0.8750 0.2500

---

[22]
The following is a GGA-PBEsol calculation of a geometry-optimized BaCuSi2 structure, from the Alexandria database.

## Properties
Space-group type: Pmmm (47)
Raw formation energy (kJ per mole of atoms): 0.3
Calculated total energy (eV per atom): -4.491

abc: 3.1047 3.6339 6.9948
angles: 90.00 90.00 90.00
Sites, in units of the cell vectors:
Si 0.0000 0.0000 0.3342
Si 0.0000 0.0000 0.6658
Cu 0.5000 0.5000 0.5000
Ba 0.5000 0.5000 0.0000